Entry 1:
## BaCaSbMo2 (PBEsol)

Data for a geometry-optimized BaCaSbMo2 structure.

Cell: 5.0768 5.0768 5.6359 Å, 90.00 90.00 90.00°
Sites, in units of the cell vectors:
Ba  0.0000  0.0000  0.0000
Ca  0.5000  0.5000  0.0000
Sb  0.5000  0.5000  0.5000
Mo  0.0000  0.5000  0.5000
Mo  0.5000  0.0000  0.5000

Computed properties:
Calculated volume   145.26 Å³ per cell
Spin magnetization   0.0 μB per cell
DOS(E_F)   5.63 states/eV/cell
DFT total energy   -5.38 eV/atom
Formation energy from raw total energies   5.5 eV/f.u.

Entry 2:
## BaCaN2 (PBEsol)

Data for a geometry-optimized BaCaN2 structure.

Cell: 7.2739 7.2739 7.2739 Å, 135.86 135.86 64.20°
Sites, in units of the cell vectors:
Ba  0.0000  0.0000  0.0000
Ba  0.7500  0.2500  0.5000
Ca  0.2500  0.7500  0.5000
Ca  0.5000  0.5000  0.0000
N  0.1690  0.6250  0.0440
N  0.3750  0.4190  0.5440
N  0.5810  0.1250  0.9560
N  0.8750  0.8310  0.4560

Computed properties:
Calculated volume   184.12 Å³ per cell
Spin magnetization   4.0 μB per cell
DOS(E_F)   7.74 states/eV/cell
DFT total energy   -5.32 eV/atom
Formation energy from raw total energies   0.0 eV/f.u.

Entry 3:
## Ba14Na7CaN6 (PBEsol)

Data for a geometry-optimized Ba14Na7CaN6 structure.

Cell: 21.7575 21.7575 21.7575 Å, 29.87 29.87 29.87°
Sites, in units of the cell vectors:
Ba  0.0299  0.2308  0.6875
Ba  0.0528  0.0528  0.0528
Ba  0.1135  0.3717  0.6555
Ba  0.1283  0.3865  0.8445
Ba  0.1555  0.8717  0.6135
Ba  0.1875  0.7308  0.5299
Ba  0.2308  0.6875  0.0299
Ba  0.2692  0.4701  0.8125
Ba  0.3125  0.9701  0.7692
Ba  0.3445  0.8865  0.6283
Ba  0.3717  0.6555  0.1135
Ba  0.3865  0.8445  0.1283
Ba  0.4472  0.4472  0.4472
Ba  0.4701  0.8125  0.2692
Ba  0.5299  0.1875  0.7308
Ba  0.5528  0.5528  0.5528
Ba  0.6135  0.1555  0.8717
Ba  0.6283  0.3445  0.8865
Ba  0.6555  0.1135  0.3717
Ba  0.6875  0.0299  0.2308
Ba  0.7308  0.5299  0.1875
Ba  0.7692  0.3125  0.9701
Ba  0.8125  0.2692  0.4701
Ba  0.8445  0.1283  0.3865
Ba  0.8717  0.6135  0.1555
Ba  0.8865  0.6283  0.3445
Ba  0.9472  0.9472  0.9472
Ba  0.9701  0.7692  0.3125
Na  0.0457  0.7500  0.4543
Na  0.1646  0.1646  0.1646
Na  0.2220  0.2220  0.2220
Na  0.2500  0.5457  0.9543
Na  0.2780  0.2780  0.2780
Na  0.3354  0.3354  0.3354
Na  0.4543  0.0457  0.7500
Na  0.5457  0.9543  0.2500
Na  0.6646  0.6646  0.6646
Na  0.7220  0.7220  0.7220
Na  0.7500  0.4543  0.0457
Na  0.7780  0.7780  0.7780
Na  0.8354  0.8354  0.8354
Na  0.9543  0.2500  0.5457
Ca  0.0000  0.0000  0.0000
Ca  0.5000  0.5000  0.5000
N  0.0568  0.1882  0.8256
N  0.1744  0.9432  0.8118
N  0.1882  0.8256  0.0568
N  0.3118  0.4432  0.6744
N  0.3256  0.6882  0.5568
N  0.4432  0.6744  0.3118
N  0.5568  0.3256  0.6882
N  0.6744  0.3118  0.4432
N  0.6882  0.5568  0.3256
N  0.8118  0.1744  0.9432
N  0.8256  0.0568  0.1882
N  0.9432  0.8118  0.1744

Computed properties:
Calculated volume   2262.27 Å³ per cell
Spin magnetization   0.0 μB per cell
DOS(E_F)   27.59 states/eV/cell
DFT total energy   -3.70 eV/atom
Formation energy from raw total energies   -10.4 eV/f.u.

Entry 4:
## BaCaNO2 (PBEsol)

Data for a geometry-optimized BaCaNO2 structure.

Cell: 4.5053 4.5053 4.4524 Å, 90.00 90.00 90.00°
Sites, in units of the cell vectors:
Ba  0.0000  0.0000  0.0000
Ca  0.5000  0.5000  0.5000
N  0.0000  0.0000  0.5000
O  0.0000  0.5000  0.0000
O  0.5000  0.0000  0.0000

Computed properties:
Calculated volume   90.38 Å³ per cell
Spin magnetization   0.2 μB per cell
DOS(E_F)   4.09 states/eV/cell
DFT total energy   -4.97 eV/atom
Formation energy from raw total energies   -1.5 eV/f.u.

Entry 5:
## Ba2Na2Ca (PBEsol)

Data for a geometry-optimized Ba2Na2Ca structure.

Cell: 9.5670 9.5670 5.1598 Å, 90.00 90.00 90.00°
Sites, in units of the cell vectors:
Ba  0.1785  0.3215  0.0000
Ba  0.3215  0.8215  0.0000
Ba  0.6785  0.1785  0.0000
Ba  0.8215  0.6785  0.0000
Na  0.1228  0.6228  0.5000
Na  0.3772  0.1228  0.5000
Na  0.6228  0.8772  0.5000
Na  0.8772  0.3772  0.5000
Ca  0.0000  0.0000  0.5000
Ca  0.5000  0.5000  0.5000

Computed properties:
Calculated volume   472.26 Å³ per cell
Spin magnetization   0.0 μB per cell
DOS(E_F)   8.78 states/eV/cell
DFT total energy   -1.80 eV/atom

Entry 6:
## Ba2NaCa (PBEsol)

Data for a geometry-optimized Ba2NaCa structure.

Cell: 6.5877 6.5877 6.5877 Å, 60.00 60.00 60.00°
Sites, in units of the cell vectors:
Ba  0.2500  0.2500  0.2500
Ba  0.7500  0.7500  0.7500
Na  0.0000  0.0000  0.0000
Ca  0.5000  0.5000  0.5000

Computed properties:
Calculated volume   202.16 Å³ per cell
Spin magnetization   0.0 μB per cell
DOS(E_F)   6.59 states/eV/cell
DFT total energy   -1.89 eV/atom

Entry 7:
## Ba5Ca2Nb3O15 (PBEsol)

Data for a geometry-optimized Ba5Ca2Nb3O15 structure.

Cell: 10.3560 10.3560 10.3560 Å, 99.45 99.45 132.19°
Sites, in units of the cell vectors:
Ba  0.0474  0.3453  0.9021
Ba  0.1453  0.0474  0.7021
Ba  0.2500  0.7500  0.5000
Ba  0.3453  0.4432  0.2979
Ba  0.4432  0.1453  0.0979
Ba  0.5568  0.8547  0.9021
Ba  0.6547  0.5568  0.7021
Ba  0.7500  0.2500  0.5000
Ba  0.8547  0.9526  0.2979
Ba  0.9526  0.6547  0.0979
Ca  0.2019  0.3989  0.6008
Ca  0.3989  0.7981  0.1970
Ca  0.6011  0.2019  0.8030
Ca  0.7981  0.6011  0.3992
Nb  0.0000  0.0000  0.0000
Nb  0.0998  0.6959  0.7957
Nb  0.3041  0.0998  0.4039
Nb  0.5000  0.5000  0.0000
Nb  0.6959  0.9002  0.5961
Nb  0.9002  0.3041  0.2043
O  0.0448  0.3381  0.3829
O  0.0474  0.8586  0.9060
O  0.0560  0.8594  0.3823
O  0.1414  0.0474  0.1889
O  0.1406  0.5229  0.1966
O  0.1406  0.5586  0.6993
O  0.2361  0.7525  0.9886
O  0.2469  0.2469  0.0000
O  0.2475  0.2361  0.4837
O  0.3263  0.9440  0.8034
O  0.3381  0.9552  0.2933
O  0.3629  0.4483  0.8111
O  0.4414  0.1406  0.5820
O  0.4483  0.6371  0.0854
O  0.4771  0.6737  0.6177
O  0.5229  0.3263  0.3823
O  0.5517  0.3629  0.9146
O  0.5586  0.8594  0.4180
O  0.6371  0.5517  0.1889
O  0.6619  0.0448  0.7067
O  0.6737  0.0560  0.1966
O  0.7525  0.7639  0.5163
O  0.7531  0.7531  0.0000
O  0.7639  0.2475  0.0114
O  0.8594  0.4414  0.3007
O  0.8594  0.4771  0.8034
O  0.8586  0.9526  0.8111
O  0.9440  0.1406  0.6177
O  0.9526  0.1414  0.0940
O  0.9552  0.6619  0.6171

Computed properties:
Calculated volume   752.35 Å³ per cell
Spin magnetization   1.8 μB per cell
DOS(E_F)   34.39 states/eV/cell
DFT total energy   -7.87 eV/atom
Formation energy from raw total energies   -70.6 eV/f.u.

Entry 8:
## Ba8Ca3Nb5O24 (PBEsol)

Data for a geometry-optimized Ba8Ca3Nb5O24 structure.

Cell: 10.3599 10.3599 10.3599 Å, 132.26 132.26 69.81°
Sites, in units of the cell vectors:
Ba  0.1222  0.1222  0.4950
Ba  0.1222  0.6272  0.0000
Ba  0.3728  0.3728  0.4950
Ba  0.3728  0.8778  0.0000
Ba  0.6272  0.1222  0.0000
Ba  0.6272  0.6272  0.5050
Ba  0.8778  0.3728  0.0000
Ba  0.8778  0.8778  0.5050
Ca  0.2500  0.7500  0.5000
Ca  0.5000  0.5000  0.0000
Ca  0.7500  0.2500  0.5000
Nb  0.0000  0.0000  0.0000
Nb  0.0000  0.5000  0.5000
Nb  0.2526  0.2526  0.0000
Nb  0.5000  0.0000  0.5000
Nb  0.7474  0.7474  0.0000
O  0.0000  0.2452  0.2452
O  0.0000  0.7548  0.7548
O  0.0052  0.2388  0.7664
O  0.1160  0.1160  0.0000
O  0.1159  0.6159  0.5000
O  0.2333  0.5000  0.7333
O  0.2388  0.0052  0.7664
O  0.2388  0.4724  0.2336
O  0.2452  0.0000  0.2452
O  0.3649  0.3649  0.0000
O  0.3841  0.8841  0.5000
O  0.4724  0.2388  0.2336
O  0.5000  0.2333  0.7333
O  0.5000  0.7667  0.2667
O  0.5276  0.7612  0.7664
O  0.6159  0.1159  0.5000
O  0.6351  0.6351  0.0000
O  0.7548  0.0000  0.7548
O  0.7612  0.5276  0.7664
O  0.7612  0.9948  0.2336
O  0.7667  0.5000  0.2667
O  0.8841  0.3841  0.5000
O  0.8840  0.8840  0.0000
O  0.9948  0.7612  0.2336

Computed properties:
Calculated volume   597.18 Å³ per cell
Spin magnetization   0.5 μB per cell
DOS(E_F)   25.26 states/eV/cell
DFT total energy   -7.94 eV/atom
Formation energy from raw total energies   -114.0 eV/f.u.

Entry 9:
## BaCaNi2 (PBEsol)

Data for a geometry-optimized BaCaNi2 structure.

Cell: 4.8451 4.8451 4.8451 Å, 60.00 60.00 60.00°
Sites, in units of the cell vectors:
Ba  0.0000  0.0000  0.0000
Ca  0.2500  0.2500  0.2500
Ni  0.5000  0.5000  0.5000
Ni  0.7500  0.7500  0.7500

Computed properties:
Calculated volume   80.42 Å³ per cell
Spin magnetization   0.0 μB per cell
DOS(E_F)   2.10 states/eV/cell
DFT total energy   -3.69 eV/atom

Entry 10:
## BaCaNi (PBEsol)

Data for a geometry-optimized BaCaNi structure.

Cell: 5.0956 5.0956 5.0956 Å, 60.00 60.00 60.00°
Sites, in units of the cell vectors:
Ba  0.0000  0.0000  0.0000
Ca  0.5000  0.5000  0.5000
Ni  0.7500  0.7500  0.7500

Computed properties:
Calculated volume   93.55 Å³ per cell
Spin magnetization   0.0 μB per cell
DOS(E_F)   0.84 states/eV/cell
DFT total energy   -3.33 eV/atom

Entry 11:
## BaCa3Ni (PBEsol)

Data for a geometry-optimized BaCa3Ni structure.

Cell: 5.6000 5.6000 5.6000 Å, 90.00 90.00 90.00°
Sites, in units of the cell vectors:
Ba  0.0000  0.0000  0.0000
Ca  0.0000  0.0000  0.5000
Ca  0.0000  0.5000  0.0000
Ca  0.5000  0.0000  0.0000
Ni  0.5000  0.5000  0.5000

Computed properties:
Calculated volume   175.62 Å³ per cell
Spin magnetization   0.8 μB per cell
DOS(E_F)   11.44 states/eV/cell
DFT total energy   -1.41 eV/atom
ΔE to the lowest computed polymorph   1542 meV per atom